This record from the Alexandria database describes Sm12Dy6Tm after structural relaxation. The functional is PBE.

abc: 12.0553 12.0553 15.1959
angles: 90.00 90.00 120.00
With the nearest neighbours (Å) after each atom.
Space group R-3 (No. 148, hexagonal axes)
Unique sites:
Sm  0.0049  0.8302  0.1907 [18 per cell]  4 Sm 3.45-3.61, 4 Dy 3.52-3.71, 1 Tm 3.57
Sm  0.0456  0.8502  0.4163 [18 per cell]  6 Sm 3.32-3.70, 3 Dy 3.34-3.48
Dy  0.0145  0.4259  0.6857 [18 per cell]  7 Sm 3.34-3.71, 1 Tm 3.48, 2 Dy 3.52
Tm  0.0000  0.0000  0.0000 [3 per cell]  6 Dy 3.48, 6 Sm 3.57

Calculated values
Magnetization in μB per cell: 0.00
Calculated formation energy in eV/atom: 0.14

---

This record from the Alexandria database describes Sm12Dy6Tm after structural relaxation. The functional is PBE.

abc: 16.1037 16.1037 8.6688
angles: 90.00 90.00 120.00
With the nearest neighbours (Å) after each atom.
Space group R-3m (No. 166, hexagonal axes)
Unique sites:
Sm  0.0000  0.3872  0.0000 [18 per cell]  6 Sm 3.16-3.53, 2 Dy 3.42
Sm  0.0887  0.5443  0.3194 [18 per cell]  4 Sm 3.16-3.53, 2 Dy 3.47
Dy  0.0802  0.1604  0.1477 [18 per cell]  2 Dy 3.40, 4 Sm 3.42-3.47, 1 Tm 3.79
Tm  0.0000  0.0000  0.5000 [3 per cell]  6 Sm 3.66, 6 Dy 3.79

Calculated values
Magnetization in μB per cell: 0.03
Calculated formation energy in eV/atom: 0.34

---

This record from the Alexandria database describes Sm8DyTm5 after structural relaxation. The functional is PBE.

abc: 9.5892 9.5892 10.2002
angles: 90.00 90.00 90.00
With the nearest neighbours (Å) after each atom.
Space group I-4 (No. 82)
Unique sites:
Sm  0.0689  0.1736  0.1541 [8 per cell]  5 Tm 3.34-3.59, 3 Sm 3.58-3.64
Sm  0.0902  0.3243  0.4971 [8 per cell]  4 Tm 3.15-3.47, 1 Dy 3.23
Dy  0.0000  0.0000  0.5000 [2 per cell]  4 Sm 3.23
Tm  0.0000  0.5000  0.2500 [2 per cell]  8 Sm 3.15-3.34
Tm  0.1097  0.2954  0.8235 [8 per cell]  8 Sm 3.35-3.59, 2 Tm 3.49

Calculated values
Magnetization in μB per cell: 0.00
Calculated formation energy in eV/atom: 0.26